Record 1
# U3CuAg3Te8 | Alexandria | PBE | optimized geometry
# Calculated total energy   -5.04 eV per atom
# Magnetic moment   12.29 μB per cell
# E_form (uncorrected)   -3.9 eV/f.u.
data_U3CuAg3Te8
_cell_length_a 14.793
_cell_length_b 8.819
_cell_length_c 8.468
_cell_angle_alpha 90.00
_cell_angle_beta 124.91
_cell_angle_gamma 90.00
_symmetry_space_group_name_H-M 'C 1 2/m 1'
_symmetry_Int_Tables_number 12
_symmetry_space_group_name_Hall '-C 2y'
loop_
_atom_site_label
_atom_site_type_symbol
_atom_site_fract_x
_atom_site_fract_y
_atom_site_fract_z
_atom_site_occupancy
U1 U 0.000 0.000 0.000 1
U2 U 0.250 0.250 0.500 1
Cu1 Cu 0.000 0.500 0.000 1
Ag1 Ag 0.000 0.500 0.500 1
Ag2 Ag 0.250 0.250 0.000 1
Te1 Te 0.000 0.247 0.250 1
Te2 Te 0.221 0.500 0.216 1
Te3 Te 0.246 0.500 0.752 1



Record 2
# YCu2AgTe | Alexandria | PBE | optimized geometry
# Calculated total energy   -3.87 eV per atom
# Magnetic moment   0.00 μB per cell
# E_form (uncorrected)   1.3 eV/f.u.
data_YCu2AgTe
_cell_length_a 4.728
_cell_length_b 4.728
_cell_length_c 5.433
_cell_angle_alpha 90.00
_cell_angle_beta 90.00
_cell_angle_gamma 90.00
_symmetry_space_group_name_H-M 'P 4/m m m'
_symmetry_Int_Tables_number 123
_symmetry_space_group_name_Hall '-P 4 2'
loop_
_atom_site_label
_atom_site_type_symbol
_atom_site_fract_x
_atom_site_fract_y
_atom_site_fract_z
_atom_site_occupancy
Y1 Y 0.000 0.000 0.000 1
Cu1 Cu 0.000 0.500 0.500 1
Ag1 Ag 0.500 0.500 0.500 1
Te1 Te 0.500 0.500 0.000 1



Record 3
# Zr2CuAgTe | Alexandria | PBE | optimized geometry
# Calculated total energy   -4.76 eV per atom
# Magnetic moment   0.00 μB per cell
# E_form (uncorrected)   3.4 eV/f.u.
data_Zr2CuAgTe
_cell_length_a 5.339
_cell_length_b 5.339
_cell_length_c 4.636
_cell_angle_alpha 90.00
_cell_angle_beta 90.00
_cell_angle_gamma 90.00
_symmetry_space_group_name_H-M 'P 4/m m m'
_symmetry_Int_Tables_number 123
_symmetry_space_group_name_Hall '-P 4 2'
loop_
_atom_site_label
_atom_site_type_symbol
_atom_site_fract_x
_atom_site_fract_y
_atom_site_fract_z
_atom_site_occupancy
Zr1 Zr 0.000 0.500 0.000 1
Cu1 Cu 0.000 0.000 0.500 1
Ag1 Ag 0.500 0.500 0.500 1
Te1 Te 0.000 0.000 0.000 1



Record 4
# ThCuAg4 | Alexandria | PBE | optimized geometry
# Energy of formation   25.5 meV per atom
# Calculated total energy   -3.79 eV per atom
# Magnetic moment   0.00 μB per cell
data_ThCuAg4
_cell_length_a 7.836
_cell_length_b 7.836
_cell_length_c 7.836
_cell_angle_alpha 90.00
_cell_angle_beta 90.00
_cell_angle_gamma 90.00
_symmetry_space_group_name_H-M 'F -4 3 m'
_symmetry_Int_Tables_number 216
_symmetry_space_group_name_Hall 'F -4 2 3'
loop_
_atom_site_label
_atom_site_type_symbol
_atom_site_fract_x
_atom_site_fract_y
_atom_site_fract_z
_atom_site_occupancy
Th1 Th 0.000 0.000 0.000 1
Cu1 Cu 0.250 0.250 0.250 1
Ag1 Ag 0.124 0.124 0.624 1



Record 5
# Th2Cu2Ag3 | Alexandria | PBE | optimized geometry
# Energy of formation   -100.0 meV per atom
# Calculated total energy   -4.61 eV per atom
# E above lowest polymorph   0.00 eV/f.u.
# Magnetic moment   0.00 μB per cell
data_Th2Cu2Ag3
_cell_length_a 10.503
_cell_length_b 3.951
_cell_length_c 7.127
_cell_angle_alpha 90.00
_cell_angle_beta 96.57
_cell_angle_gamma 90.00
_symmetry_space_group_name_H-M 'C 1 2/m 1'
_symmetry_Int_Tables_number 12
_symmetry_space_group_name_Hall '-C 2y'
loop_
_atom_site_label
_atom_site_type_symbol
_atom_site_fract_x
_atom_site_fract_y
_atom_site_fract_z
_atom_site_occupancy
Th1 Th 0.131 0.000 0.331 1
Cu1 Cu 0.084 0.500 0.641 1
Ag1 Ag 0.000 0.500 0.000 1
Ag2 Ag 0.182 0.000 0.870 1



Record 6
# ThCu17Ag | Alexandria | PBE | optimized geometry
# Energy of formation   6.9 meV per atom
# Calculated total energy   -4.20 eV per atom
# Magnetic moment   0.00 μB per cell
data_ThCu17Ag
_cell_length_a 8.5088
_cell_length_b 8.5088
_cell_length_c 12.4512
_cell_angle_alpha 90.00
_cell_angle_beta 90.00
_cell_angle_gamma 120.00
_symmetry_space_group_name_H-M 'R 3 m'
_symmetry_Int_Tables_number 160
_symmetry_space_group_name_Hall 'R 3 -2"'
loop_
_atom_site_label
_atom_site_type_symbol
_atom_site_fract_x
_atom_site_fract_y
_atom_site_fract_z
_atom_site_occupancy
Th1 Th 0.0000 0.0000 0.0000 1
Cu1 Cu 0.0000 0.0000 0.2491 1
Cu2 Cu 0.0000 0.0000 0.4453 1
Cu3 Cu 0.0043 0.3013 0.3412 1
Cu4 Cu 0.0052 0.5026 0.8388 1
Cu5 Cu 0.0081 0.5041 0.4949 1
Cu6 Cu 0.0093 0.5047 0.1895 1
Ag1 Ag 0.0000 0.0000 0.6853 1